Entry from Alexandria: an optimized crystal structure of Mo4Pt (PBE-GGA).

- E_form (meV/atom) = 26
- V (Å³/atom) = 15.84
- final energy (eV/atom) = -9.85
- energy relative to the lowest polymorph listed for this composition (meV per atom) = 0
- DOS at the Fermi energy (states/eV per atom) = 0.85

Lattice parameters (Å, degrees): 4.9614 4.9614 4.9614 98.23 98.23 135.54
Last column: nearest neighbours and their distance in Å.
Fractional coordinates of all 5 atoms:
Mo1 0.3844 0.1988 0.5832  8 Mo 2.65-2.96, 3 Pt 2.81
Mo2 0.8012 0.3844 0.1855  8 Mo 2.65-2.96, 3 Pt 2.81
Mo3 0.6156 0.8012 0.4168  8 Mo 2.65-2.96, 3 Pt 2.81
Mo4 0.1988 0.6156 0.8145  8 Mo 2.65-2.96, 3 Pt 2.81
Pt1 0.0000 0.0000 0.0000  12 Mo 2.81

Entry from Alexandria: an optimized crystal structure of KHoCdCl6 (PBE-GGA).

- ΔE_f (raw) (eV per atom) = -1.844
- V (Å³/atom) = 31.86
- final energy (eV/atom) = -3.81
- DOS at the Fermi energy (states/eV per atom) = 0.00

Lattice parameters (Å, degrees): 6.9131 6.9131 13.8568 90.00 90.00 120.00
Last column: nearest neighbours and their distance in Å.
Fractional coordinates of all 18 atoms:
K1 0.0000 0.0000 0.0000  6 Cl 3.22
K2 0.0000 0.0000 0.5000  6 Cl 3.22
Ho1 0.6667 0.3333 0.2500  6 Cl 2.65
Ho2 0.3333 0.6667 0.7500  6 Cl 2.65
Cd1 0.3333 0.6667 0.2500  6 Cl 2.67
Cd2 0.6667 0.3333 0.7500  6 Cl 2.67
Cl1 0.6300 0.6271 0.1406  1 Ho 2.65, 1 Cd 2.67
Cl2 0.9971 0.3700 0.1406  1 Ho 2.65, 1 Cd 2.67
Cl3 0.3700 0.9971 0.6406  1 Ho 2.65, 1 Cd 2.67
Cl4 0.0029 0.6300 0.8594  1 Ho 2.65, 1 Cd 2.67
Cl5 0.3729 0.3700 0.3594  1 Ho 2.65, 1 Cd 2.67
Cl6 0.9971 0.6271 0.3594  1 Ho 2.65, 1 Cd 2.67
Cl7 0.6271 0.9971 0.8594  1 Ho 2.65, 1 Cd 2.67
Cl8 0.6300 0.0029 0.3594  1 Ho 2.65, 1 Cd 2.67
Cl9 0.0029 0.3729 0.6406  1 Ho 2.65, 1 Cd 2.67
Cl10 0.3729 0.0029 0.1406  1 Ho 2.65, 1 Cd 2.67
Cl11 0.6271 0.6300 0.6406  1 Ho 2.65, 1 Cd 2.67
Cl12 0.3700 0.3729 0.8594  1 Ho 2.65, 1 Cd 2.67